No. 1
Compound: Tl7GeSe6
Source: Alexandria via LeMat-Bulk
Functional: GGA-PBE
Structure: optimized geometry

```
Tl7GeSe6
1.0
7.2263 0.0000 2.7117
3.0420 11.1791 2.8777
-0.3335 1.1961 11.8729
Se Ge Tl
12 2 14
Cartesian
4.5062 9.2704 14.0478 Se
3.7470 2.9250 11.6270 Se
5.4285 3.1048 3.4146 Se
2.5154 7.3574 11.1776 Se
7.4194 5.0178 6.2848 Se
4.0759 3.0828 7.0192 Se
2.0561 7.9165 5.8615 Se
0.2372 1.1698 3.4556 Se
9.6976 11.2054 14.0068 Se
6.1878 9.4502 5.8354 Se
7.8787 4.4587 11.6009 Se
5.8589 9.2924 10.4432 Se
6.0968 3.0938 5.7215 Ge
3.8380 9.2814 11.7409 Ge
2.1424 1.7662 9.1560 Tl
6.0898 2.7547 9.6212 Tl
6.7539 6.4241 9.1584 Tl
7.4511 9.2814 13.0968 Tl
2.4837 3.0938 4.3656 Tl
8.8375 7.7462 5.5213 Tl
5.2662 1.4326 13.7311 Tl
4.6686 10.9426 3.7312 Tl
4.8901 6.7577 5.0561 Tl
5.0447 5.6175 12.4062 Tl
3.1809 5.9511 8.3039 Tl
7.7924 10.6090 8.3064 Tl
3.8450 9.6205 7.8412 Tl
1.0973 4.6290 11.9410 Tl
```

- symmetry = Ibam
- density (g/cm³) = 6.881
- total moment (μB per cell) = 0.00
- energy (eV per atom) = -3.332
- ΔE_f (raw) (eV/f.u.) = -4.6



No. 2
Compound: FeHgW2
Source: Alexandria via LeMat-Bulk
Functional: GGA-PBE
Structure: optimized geometry

```
FeHgW2
1.0
9.4411 -0.0168 -0.0098
9.0240 2.7753 -0.0098
9.0240 1.3481 2.4259
Hg W Fe
1 2 1
Cartesian
20.6167 3.0800 1.8047 Hg
14.0111 2.0931 1.2265 W
27.2223 4.0668 2.3829 W
6.8722 1.0267 0.6016 Fe
```

- symmetry = R-3m
- density (g/cm³) = 16.147
- total moment (μB per cell) = 0.78
- energy (eV per atom) = -8.073
- formation energy (eV per atom) = 0.594



No. 3
Compound: RbNpUSe4
Source: Alexandria via LeMat-Bulk
Functional: GGA-PBE
Structure: optimized geometry

```
RbNpUSe4
1.0
-1.9486 -5.6944 6.4798
-4.6413 -0.1388 -7.5527
8.5088 -2.7704 0.1241
U Rb Se Np
2 2 8 2
Cartesian
0.9594 -4.3018 -0.4744 U
1.9337 -1.4546 -3.7143 U
6.0386 -3.1791 -0.9778 Rb
-4.1197 -5.4245 0.0290 Rb
1.4983 -2.5484 1.7234 Se
1.2351 -3.6750 -5.3807 Se
0.6838 -4.9286 4.4319 Se
2.2651 -6.1376 1.3224 Se
0.4206 -6.0552 -2.6722 Se
3.1423 -3.6019 -2.2203 Se
-1.2234 -5.0017 1.2715 Se
-0.3462 -2.4660 -2.2712 Se
-0.9743 -2.8472 3.2399 Np
3.2801 -4.2324 3.3019 Np
```

- symmetry = Imma
- density (g/cm³) = 5.886
- total moment (μB per cell) = 12.00
- energy (eV per atom) = -6.739
- ΔE_f (raw) (eV/f.u.) = -8.0



No. 4
Compound: U2AlSi4Pt3
Source: Alexandria via LeMat-Bulk
Functional: GGA-PBE
Structure: optimized geometry

```
U2AlSi4Pt3
1.0
-0.3503 2.5924 3.2162
2.5003 -2.4363 2.2361
8.0558 5.2149 -3.3260
U Pt Si Al
2 3 4 1
Cartesian
1.8217 2.5888 0.7837 U
7.3092 2.7041 -1.3836 U
4.0279 2.6074 -1.6630 Pt
2.2388 -0.5781 0.7098 Pt
6.8921 5.8711 -1.3098 Pt
4.1316 0.6471 -0.0716 Si
1.0750 0.0781 2.7261 Si
0.0000 0.0000 0.0000 Si
4.9993 4.6458 -0.5283 Si
5.1029 2.6855 1.0631 Al
```

- symmetry = P-4m2
- density (g/cm³) = 11.421
- total moment (μB per cell) = 4.84
- energy (eV per atom) = -7.301
- ΔE_f (raw) (eV/f.u.) = -6.9



No. 5
Compound: Zn4Ga2Ag5
Source: Alexandria via LeMat-Bulk
Functional: GGA-PBE
Structure: optimized geometry

```
Zn4Ga2Ag5
1.0
3.9492 0.0071 -1.1205
0.1728 10.2119 0.5733
-0.7495 1.0072 4.8154
Ga Zn Ag
2 4 5
Cartesian
1.1163 7.3554 3.8611 Ga
2.2563 3.8709 0.4071 Ga
0.8315 3.4221 2.8839 Zn
2.5411 7.8042 1.3843 Zn
3.2149 9.3106 3.7394 Zn
0.1577 1.9156 0.5288 Zn
2.6666 1.5650 1.8353 Ag
2.9466 5.3048 2.8095 Ag
0.4260 5.9214 1.4588 Ag
0.7060 9.6613 2.4329 Ag
1.9746 0.0036 -0.5602 Ag
```

- polymorph energy (0 for the lowest one) (meV per atom) = 0
- symmetry = P-1
- density (g/cm³) = 8.527
- total moment (μB per cell) = 0.00
- energy (eV per atom) = -2.311
- formation energy (eV per atom) = -0.001



No. 6
Compound: Sc6Al3Re
Source: Alexandria via LeMat-Bulk
Functional: GGA-PBE
Structure: optimized geometry

```
Sc6Al3Re
1.0
-2.2744 0.7402 4.1746
-3.2869 -7.6422 -0.4358
9.2452 -0.4852 5.1230
Re Sc Al
2 12 6
Cartesian
1.8472 -7.4174 3.7078 Re
1.8366 0.0302 5.1540 Re
-0.4524 -6.5169 2.2952 Sc
-1.2990 -3.4215 1.2852 Sc
0.4670 -5.5876 5.4038 Sc
3.1363 -6.4449 7.0101 Sc
4.1363 -0.8703 6.5665 Sc
0.5476 -0.9423 1.8516 Sc
3.2169 -1.7996 3.4579 Sc
4.9828 -3.9657 7.5766 Sc
3.4355 -5.2248 4.1843 Sc
0.2483 -2.1624 4.6774 Sc
7.1696 -0.9946 5.4687 Sc
-3.4858 -6.3926 3.3930 Sc
-1.6863 -4.3069 4.0036 Al
-2.1955 -1.2305 3.1807 Al
2.4954 -3.2668 6.0974 Al
5.3702 -3.0803 4.8581 Al
5.8794 -6.1567 5.6810 Al
1.1885 -4.1205 2.7643 Al
```

- symmetry = P2_1/m
- density (g/cm³) = 4.451
- total moment (μB per cell) = 0.00
- energy (eV per atom) = -6.482
- formation energy (eV per atom) = -0.315



No. 7
Compound: ZrB4H16
Source: Alexandria via LeMat-Bulk
Functional: GGA-PBE
Structure: optimized geometry

```
ZrB4H16
1.0
-4.9827 2.8481 -1.3835
0.4137 -1.9718 -5.5492
-3.1392 -4.7805 1.4646
H Zr B
16 1 4
Cartesian
-1.0342 -0.8217 -4.4496 H
-4.2084 -0.4451 -2.3100 H
-2.5142 -1.9583 -3.6179 H
-5.6260 -3.3698 -5.3843 H
-0.5945 -2.6408 -3.7705 H
-6.4733 -4.0396 -3.7117 H
-2.3189 -4.0040 -0.3663 H
-3.6058 -2.8547 0.6271 H
-3.6533 1.5176 -2.4278 H
-1.6841 -2.4319 -5.4237 H
-4.2557 -4.4649 -0.3469 H
-5.0641 -2.5650 -3.5924 H
-4.5005 0.8478 -0.7553 H
-3.6296 -2.8401 -1.4158 H
-5.5901 1.0568 -2.4084 H
-6.9129 -2.2204 -4.3909 H
0.0000 0.0000 0.0000 Zr
-1.5180 -1.9629 -4.2750 B
-3.4628 -3.5003 -0.4357 B
-4.4719 0.6754 -1.9948 B
-5.9638 -3.0207 -4.2306 B
```

- symmetry = P-43m
- density (g/cm³) = 1.215
- total moment (μB per cell) = 0.00
- energy (eV per atom) = -4.427



No. 8
Compound: BeSbPt2
Source: Alexandria via LeMat-Bulk
Functional: GGA-PBE
Structure: optimized geometry

```
BeSbPt2
1.0
6.8476 0.0067 -0.0146
5.3199 4.3114 0.0146
-6.1567 -1.9534 2.2735
Be Pt Sb
1 2 1
Cartesian
2.0864 2.0679 1.1440 Be
3.5844 0.1761 1.1294 Pt
0.9566 0.3395 0.0000 Pt
5.4671 1.9402 0.0000 Sb
```

- polymorph energy (0 for the lowest one) (meV per atom) = 94
- symmetry = Imm2
- density (g/cm³) = 12.912
- total moment (μB per cell) = 0.00
- energy (eV per atom) = -5.295
- ΔE_f (raw) (eV/f.u.) = -1.3